(1)
NaHfI5, relaxed, DFT PBE; crystal system = monoclinic; energy relative to the elements, uncorrected = -0.915 eV per atom; symmetry = C2/c; density of states at the Fermi level = 0.00 states/eV/cell; energy = -3.633 eV per atom
1.0
7.8159 -0.3030 -2.3932
-1.6764 7.6400 -2.3932
-0.3829 -0.4576 11.6510
I Hf Na
10 2 2
Cartesian
5.1321 0.7137 8.6837
1.0214 5.4447 4.0064
3.8209 4.9709 1.2461
1.9357 1.9086 5.6185
0.9580 0.7402 9.4648
4.7986 6.1393 -2.6002
0.7592 2.2888 1.7162
4.7352 1.4348 2.8582
0.6245 6.1658 -1.8191
4.9974 4.5907 5.1485
0.0000 0.0000 0.0000
2.8783 3.4397 3.4323
-0.3837 2.8562 7.5417
6.1403 4.0233 -0.6771



(2)
KScCuI6, relaxed, DFT PBE; crystal system = triclinic; energy relative to the elements, uncorrected = -0.865 eV per atom; symmetry = P1; density of states at the Fermi level = 2.86 states/eV/cell; energy = -3.179 eV per atom
1.0
8.0470 -0.0382 0.4982
4.0010 6.0805 0.2602
0.5103 0.0063 7.7467
I K Cu Sc
6 1 1 1
Cartesian
3.6277 0.0129 5.9159
9.4288 2.3106 2.3016
10.7683 3.6872 5.8736
5.0328 0.2284 2.4922
6.9116 2.2167 6.0961
5.6877 4.0201 2.9461
4.4007 5.7138 7.9337
4.6150 2.0447 4.4478
8.3163 3.9285 4.2576



(3)
DyEr2Zn2Ga2, relaxed, DFT PBE; crystal system = trigonal; symmetry = R-3m; density of states at the Fermi level = 3.25 states/eV/cell; energy of formation = -393 meV per atom; energy = -3.583 eV per atom
1.0
-2.6133 1.7756 -3.1080
-2.4548 -2.6236 -2.5946
-8.4547 0.1676 4.0448
Zn Er Ga Dy
2 2 2 1
Cartesian
-8.8212 -0.2031 0.9813
-4.7016 -0.4773 -2.6391
-5.8782 -0.0039 1.7804
-7.6446 -0.6766 -3.4383
-3.1423 -0.1860 -0.6239
-10.3805 -0.4945 -1.0339
0.0000 0.0000 0.0000



(4)
BaSeIN2, relaxed, DFT PBE; crystal system = tetragonal; energy relative to the elements, uncorrected = 1.359 eV per atom; symmetry = P4/mmm; density of states at the Fermi level = 3.99 states/eV/cell; energy = -3.362 eV per atom
1.0
5.2327 0.0000 0.0000
0.0000 5.2327 0.0000
0.0000 0.0000 6.6962
Ba N I Se
1 2 1 1
Cartesian
0.0000 0.0000 0.0000
2.6163 0.0000 0.0000
0.0000 2.6163 0.0000
2.6163 2.6163 3.3481
0.0000 0.0000 3.3481